Computed, not measured: an optimized crystal structure of Ac6TbPr4 at the PBE-GGA level of DFT.

Properties
Volume in Å³/cell: 483
Formation enthalpy at 0 K in eV per atom: 0.302
Fermi-level density of states in states/eV/cell: 18.817

Lattice parameters (Å, degrees): 11.4285 11.4285 11.4285 145.23 145.23 50.00
Closest atoms and distances in Å follow each position.
Element x y z (fractional)
Ac  0.0000  0.5000  0.5000  2 Tb 3.42, 4 Pr 3.73
Ac  0.1114  0.1114  0.6017  5 Pr 3.63-3.71, 1 Ac 3.85
Ac  0.4902  0.8886  0.0000  5 Pr 3.63-3.71, 1 Ac 3.85
Ac  0.5000  0.0000  0.5000  2 Tb 3.42, 4 Pr 3.73
Ac  0.5098  0.5098  0.3983  5 Pr 3.63-3.71, 1 Ac 3.85
Ac  0.8886  0.4902  0.0000  5 Pr 3.63-3.71, 1 Ac 3.85
Tb  0.0000  0.0000  0.0000  4 Pr 3.36, 4 Ac 3.42
Pr  0.0583  0.6722  0.0000  1 Tb 3.36, 7 Ac 3.63-3.73, 1 Pr 3.73
Pr  0.3278  0.3278  0.3861  1 Tb 3.36, 7 Ac 3.63-3.73, 1 Pr 3.73
Pr  0.6722  0.0583  0.0000  1 Tb 3.36, 7 Ac 3.63-3.73, 1 Pr 3.73
Pr  0.9417  0.9417  0.6139  1 Tb 3.36, 7 Ac 3.63-3.73, 1 Pr 3.73

---

Computed, not measured: an optimized crystal structure of AlSbAs3 at the PBE-GGA level of DFT.

Properties
Polymorph energy (0 for the lowest one) in eV per atom: 0.508
Volume in Å³/cell: 147
Uncorrected formation energy in kcal/mol of atoms: 22.62
Fermi-level density of states in states/eV/cell: 4.938

Lattice parameters (Å, degrees): 5.2827 5.2827 5.2827 90.00 90.00 90.00
Closest atoms and distances in Å follow each position.
Element x y z (fractional)
Al  0.0000  0.0000  0.0000  12 As 3.74
Sb  0.5000  0.5000  0.5000  6 As 2.64
As  0.0000  0.5000  0.5000  2 Sb 2.64
As  0.5000  0.0000  0.5000  2 Sb 2.64
As  0.5000  0.5000  0.0000  2 Sb 2.64

---

Number 1: magnetic moment 0.0 Bohr magnetons per cell. Number 2: magnetic moment 0.0 Bohr magnetons per cell.